Entry from Alexandria via LeMat-Bulk: crystalline LiCoTc2 at its relaxed geometry (PBE-GGA).

**E_form**: 0.350 eV/atom
**Offset from the most stable computed form**: 172 meV per atom
**Symmetry**: P4/mmm, No. 123

```
LiCoTc2
1.0
-1.5158 -2.9149 -2.9835
0.7706 -3.3155 2.8478
-2.3600 0.2617 0.9433
Co Li Tc
1 1 2
Cartesian
-1.9379 -1.3266 -1.0201 Co
-0.7947 -1.5269 1.8955 Li
0.0000 0.0000 0.0000 Tc
-0.3726 -3.1152 -0.0679 Tc
```